## Ca2CuRu (PBE)

Data for a relaxed structure of Ca2CuRu.

Geometry as extended XYZ:
```
4
Lattice="4.1397 0.0000 0.0000 0.0000 4.3260 0.0112 0.0000 2.1463 5.2504" Properties=species:S:1:pos:R:3 pbc="T T T"
Cu 0.0000 4.0472 2.6647
Ca 2.0698 1.8859 1.8059
Ca 0.0000 6.2041 4.7926
Ru 2.0698 4.0434 3.8908
```

Computed properties:
D(E_F): 2.6 states/eV/f.u.
Formation enthalpy at 0 K: 0.37 eV/f.u.
Crystal system: orthorhombic
Volume: 23.48 Å³ per atom